The following is a DFT calculation (PBE) of a relaxed YZnCd2 crystal.

abc: 4.947 4.947 4.947
angles: 60.00 60.00 60.00
Positions (direct):
Zn1 0.500 0.500 0.500
Cd1 0.000 0.000 0.000
Cd2 0.750 0.750 0.750
Y1 0.250 0.250 0.250

Summary:
**Density**: 7.4 Mg/m³
**Energy of formation**: -0.284 eV per atom
**Magnetic moment**: 0.0 μB/f.u.



The following is a DFT calculation (PBE) of a relaxed YZn2Cd crystal.

abc: 4.817 4.817 4.817
angles: 60.00 60.00 60.00
Positions (direct):
Cd1 0.500 0.500 0.500
Zn1 0.000 0.000 0.000
Zn2 0.250 0.250 0.250
Y1 0.750 0.750 0.750

Summary:
**Density**: 7.0 Mg/m³
**Energy of formation**: -0.228 eV per atom
**Magnetic moment**: 0.0 μB/f.u.



The following is a DFT calculation (PBE) of a relaxed ZnCd2 crystal.

abc: 5.681 5.681 5.681
angles: 60.00 60.00 60.00
Positions (direct):
Zn1 0.250 0.250 0.250
Zn2 0.000 0.000 0.000
Cd1 0.625 0.625 0.125
Cd2 0.625 0.125 0.625
Cd3 0.125 0.625 0.625
Cd4 0.625 0.625 0.625

Summary:
**Density**: 7.4 Mg/m³
**Energy of formation**: 0.237 eV per atom



The following is a DFT calculation (PBE) of a relaxed Zn5Cd crystal.

abc: 5.183 5.183 4.303
angles: 90.00 90.00 120.00
Positions (direct):
Zn1 0.000 0.500 0.500
Zn2 0.500 0.000 0.500
Zn3 0.667 0.333 0.000
Zn4 0.500 0.500 0.500
Zn5 0.333 0.667 0.000
Cd1 0.000 0.000 0.000

Summary:
**Polymorph energy (0 for the lowest one)**: 0.033 eV/atom
**Density**: 7.3 Mg/m³
**Energy of formation**: 0.086 eV per atom



The following is a DFT calculation (PBE) of a relaxed Zn2Cd crystal.

abc: 12.426 7.473 4.886
angles: 90.00 90.00 64.63
Positions (direct):
Zn1 0.415 0.902 0.000
Zn2 0.942 0.602 0.500
Zn3 0.501 0.510 0.000
Zn4 0.541 0.678 0.500
Zn5 0.082 0.583 0.000
Zn6 0.253 0.760 0.000
Zn7 0.585 0.084 0.000
Zn8 0.654 0.683 0.000
Zn9 0.113 0.778 0.500
Zn10 0.171 0.160 0.000
Zn11 0.925 0.410 0.000
Zn12 0.610 0.277 0.500
Zn13 0.270 0.951 0.500
Zn14 0.780 0.459 0.500
Zn15 0.024 0.202 0.500
Zn16 0.693 0.851 0.500
Cd1 0.185 0.365 0.500
Cd2 0.830 0.818 0.000
Cd3 0.010 0.996 0.000
Cd4 0.364 0.543 0.500
Cd5 0.859 0.029 0.500
Cd6 0.743 0.272 0.000
Cd7 0.335 0.332 0.000
Cd8 0.451 0.089 0.500

Summary:
**Density**: 7.9 Mg/m³
**Energy of formation**: 0.069 eV per atom



The following is a DFT calculation (PBE) of a relaxed Zn3Cd crystal.

abc: 4.885 5.647 4.750
angles: 90.00 90.00 90.00
Positions (direct):
Zn1 0.826 0.247 0.500
Zn2 0.354 0.000 0.500
Zn3 0.826 0.753 0.500
Zn4 0.507 0.747 0.000
Zn5 0.979 0.500 0.000
Zn6 0.507 0.253 0.000
Cd1 0.011 0.000 0.000
Cd2 0.322 0.500 0.500

Summary:
**Density**: 7.8 Mg/m³
**Energy of formation**: 0.067 eV per atom



The following is a DFT calculation (PBE) of a relaxed Zn3Cd crystal.

abc: 5.608 5.640 4.820
angles: 90.00 90.00 119.81
Positions (direct):
Zn1 0.332 0.165 0.500
Zn2 0.501 0.502 0.000
Zn3 0.009 0.002 0.000
Zn4 0.824 0.665 0.500
Zn5 0.341 0.665 0.500
Zn6 0.493 0.002 0.000
Cd1 0.005 0.509 0.000
Cd2 0.829 0.157 0.500

Summary:
**Density**: 7.7 Mg/m³
**Energy of formation**: 0.069 eV per atom



The following is a DFT calculation (PBE) of a relaxed Zn5Cd crystal.

abc: 4.821 4.821 4.732
angles: 90.00 90.00 60.00
Positions (direct):
Cd1 0.000 0.000 0.000
Zn1 0.000 0.350 0.500
Zn2 0.350 0.650 0.500
Zn3 0.333 0.333 0.000
Zn4 0.650 0.000 0.500
Zn5 0.667 0.667 0.000

Summary:
**Polymorph energy (0 for the lowest one)**: 0.000 eV/atom
**Density**: 7.7 Mg/m³
**Energy of formation**: 0.052 eV per atom



The following is a DFT calculation (PBE) of a relaxed Zn2Cd crystal.

abc: 4.994 4.994 4.724
angles: 90.00 90.00 60.00
Positions (direct):
Zn1 0.667 0.986 0.500
Zn2 0.348 0.667 0.500
Zn3 0.667 0.667 0.000
Zn4 0.986 0.348 0.500
Cd1 0.333 0.333 0.000
Cd2 0.000 0.000 0.000

Summary:
**Density**: 7.9 Mg/m³
**Energy of formation**: 0.083 eV per atom



The following is a DFT calculation (PBE) of a relaxed Zn7Cd2 crystal.

abc: 5.154 5.154 12.826
angles: 93.41 93.41 119.66
Positions (direct):
Zn1 0.855 0.531 0.074
Zn2 0.240 0.737 0.250
Zn3 0.760 0.263 0.750
Zn4 0.741 0.741 0.251
Zn5 0.636 0.955 0.427
Zn6 0.955 0.636 0.427
Zn7 0.259 0.259 0.749
Zn8 0.737 0.240 0.250
Zn9 0.045 0.364 0.573
Zn10 0.531 0.855 0.074
Zn11 0.364 0.045 0.573
Zn12 0.145 0.469 0.926
Zn13 0.263 0.760 0.750
Zn14 0.469 0.145 0.926
Cd1 0.718 0.718 0.620
Cd2 0.800 0.800 0.883
Cd3 0.282 0.282 0.380
Cd4 0.200 0.200 0.117

Summary:
**Density**: 7.7 Mg/m³
**Energy of formation**: 0.044 eV per atom



The following is a DFT calculation (PBE) of a relaxed Zn2Cd crystal.

abc: 4.867 8.673 4.833
angles: 90.00 90.00 90.00
Positions (direct):
Zn1 0.509 0.833 0.000
Zn2 0.339 0.677 0.500
Zn3 0.324 0.333 0.500
Zn4 0.339 0.990 0.500
Zn5 0.494 0.177 0.000
Zn6 0.821 0.833 0.500
Zn7 0.494 0.490 0.000
Zn8 0.012 0.333 0.000
Cd1 0.823 0.502 0.500
Cd2 0.010 0.002 0.000
Cd3 0.010 0.665 0.000
Cd4 0.823 0.165 0.500

Summary:
**Density**: 7.9 Mg/m³
**Energy of formation**: 0.076 eV per atom



The following is a DFT calculation (PBE) of a relaxed Zn3Cd crystal.

abc: 4.579 4.579 4.579
angles: 60.00 60.00 60.00
Positions (direct):
Zn1 0.000 0.000 0.000
Zn2 0.750 0.750 0.750
Zn3 0.500 0.500 0.500
Cd1 0.250 0.250 0.250

Summary:
**Density**: 7.5 Mg/m³
**Energy of formation**: 0.132 eV per atom